(1)
Crystalline Ce4HgPd2 at its relaxed geometry, computed with PBE-GGA.

CIF file:
```
data_Ce4HgPd2
_symmetry_space_group_name_H-M 'R -3 m'
_symmetry_Int_Tables_number 166
_symmetry_space_group_name_Hall '-R 3 2"'
_cell_length_a 4.9950
_cell_length_b 4.9950
_cell_length_c 25.2048
_cell_angle_alpha 90.00
_cell_angle_beta 90.00
_cell_angle_gamma 120.00
loop_
_atom_site_label
_atom_site_type_symbol
_atom_site_fract_x
_atom_site_fract_y
_atom_site_fract_z
Ce1 Ce 0.0000 0.0000 0.1095
Ce2 Ce 0.0000 0.0000 0.2761
Hg1 Hg 0.0000 0.0000 0.5000
Pd1 Pd 0.0000 0.0000 0.3879
```

Crystal system: trigonal
Energy relative to the elements in kJ per mole of atoms: -24.0

(2)
Crystalline LuScTlPd at its relaxed geometry, computed with PBE-GGA.

CIF file:
```
data_LuScTlPd
_symmetry_space_group_name_H-M 'F -4 3 m'
_symmetry_Int_Tables_number 216
_symmetry_space_group_name_Hall 'F -4 2 3'
_cell_length_a 7.051
_cell_length_b 7.051
_cell_length_c 7.051
_cell_angle_alpha 90.00
_cell_angle_beta 90.00
_cell_angle_gamma 90.00
loop_
_atom_site_label
_atom_site_type_symbol
_atom_site_fract_x
_atom_site_fract_y
_atom_site_fract_z
Lu1 Lu 0.000 0.000 0.000
Sc1 Sc 0.000 0.000 0.500
Tl1 Tl 0.250 0.250 0.750
Pd1 Pd 0.250 0.250 0.250
```

Crystal system: cubic
Energy relative to the elements in kJ per mole of atoms: -51.7

(3)
Crystalline NbSnNO2 at its relaxed geometry, computed with PBE-GGA.

CIF file:
```
data_NbSnNO2
_symmetry_space_group_name_H-M 'P 4/m m m'
_symmetry_Int_Tables_number 123
_symmetry_space_group_name_Hall '-P 4 2'
_cell_length_a 3.835
_cell_length_b 3.835
_cell_length_c 6.152
_cell_angle_alpha 90.00
_cell_angle_beta 90.00
_cell_angle_gamma 90.00
loop_
_atom_site_label
_atom_site_type_symbol
_atom_site_fract_x
_atom_site_fract_y
_atom_site_fract_z
Nb1 Nb 0.000 0.000 0.000
Sn1 Sn 0.000 0.000 0.500
N1 N 0.500 0.500 0.500
O1 O 0.000 0.500 0.000
```

ΔE_f (raw) in eV/atom: -0.524
Crystal system: tetragonal

(4)
Crystalline Ba2BN2 at its relaxed geometry, computed with PBE-GGA.

CIF file:
```
data_Ba2BN2
_symmetry_space_group_name_H-M 'I 4/m m m'
_symmetry_Int_Tables_number 139
_symmetry_space_group_name_Hall '-I 4 2'
_cell_length_a 4.160
_cell_length_b 4.160
_cell_length_c 11.556
_cell_angle_alpha 90.00
_cell_angle_beta 90.00
_cell_angle_gamma 90.00
loop_
_atom_site_label
_atom_site_type_symbol
_atom_site_fract_x
_atom_site_fract_y
_atom_site_fract_z
Ba1 Ba 0.000 0.000 0.146
B1 B 0.000 0.000 0.500
N1 N 0.000 0.000 0.381
```

ΔE_f (raw) in eV/atom: -0.801
Crystal system: tetragonal

(5)
Crystalline PmEr3In3 at its relaxed geometry, computed with PBE-GGA.

CIF file:
```
data_PmEr3In3
_symmetry_space_group_name_H-M 'P 21 3'
_symmetry_Int_Tables_number 198
_symmetry_space_group_name_Hall 'P 2ac 2ab 3'
_cell_length_a 9.301
_cell_length_b 9.301
_cell_length_c 9.301
_cell_angle_alpha 90.00
_cell_angle_beta 90.00
_cell_angle_gamma 90.00
loop_
_atom_site_label
_atom_site_type_symbol
_atom_site_fract_x
_atom_site_fract_y
_atom_site_fract_z
Pm1 Pm 0.050 0.450 0.550
Er1 Er 0.116 0.616 0.884
Er2 Er 0.168 0.168 0.168
Er3 Er 0.199 0.801 0.301
In1 In 0.005 0.798 0.601
```

Offset from the most stable computed form in meV per atom: 42
Crystal system: cubic
Energy relative to the elements in kJ per mole of atoms: -30.1